# CaLaZr

An optimized crystal structure of CaLaZr (PBE-GGA, Alexandria).

Cell and atoms, written as CIF:
```
data_CaLaZr
_chemical_formula_sum 'Ca2 La2 Zr2'
_symmetry_space_group_name_H-M 'I m m 2'
_symmetry_Int_Tables_number 44
_cell_length_a 3.469
_cell_length_b 4.871
_cell_length_c 11.218
_cell_angle_alpha 90.00
_cell_angle_beta 90.00
_cell_angle_gamma 90.00
loop_
_symmetry_equiv_pos_as_xyz
'x,y,z'
'-x,-y,z'
'-x,y,z'
'x,-y,z'
'x+1/2,y+1/2,z+1/2'
'-x+1/2,-y+1/2,z+1/2'
'-x+1/2,y+1/2,z+1/2'
'x+1/2,-y+1/2,z+1/2'
loop_
_atom_site_label
_atom_site_type_symbol
_atom_site_fract_x
_atom_site_fract_y
_atom_site_fract_z
Ca1 Ca 0.000 0.000 0.000
La1 La 0.000 0.000 0.694
Zr1 Zr 0.000 0.000 0.324
```

Summary:
Offset from the most stable computed form in meV/atom: 98.5
Energy of formation in eV per atom: 0.287
Calculated density in g/cm3: 4.73
Uncorrected energy in eV for the cell shown: -29.23
Crystal system: orthorhombic


# Ca2LaZr

An optimized crystal structure of Ca2LaZr (PBE-GGA, Alexandria).

Cell and atoms, written as CIF:
```
data_Ca2LaZr
_chemical_formula_sum 'Ca8 La4 Zr4'
_symmetry_space_group_name_H-M 'F -4 3 m'
_symmetry_Int_Tables_number 216
_symmetry_space_group_name_Hall 'F -4 2 3'
_cell_length_a 8.125
_cell_length_b 8.125
_cell_length_c 8.125
_cell_angle_alpha 90.00
_cell_angle_beta 90.00
_cell_angle_gamma 90.00
loop_
_atom_site_label
_atom_site_type_symbol
_atom_site_fract_x
_atom_site_fract_y
_atom_site_fract_z
Ca1 Ca 0.000 0.000 0.000
Ca2 Ca 0.250 0.250 0.250
La1 La 0.000 0.000 0.500
Zr1 Zr 0.250 0.250 0.750
```

Summary:
Offset from the most stable computed form in meV/atom: 178.7
Energy of formation in eV per atom: 0.356
Calculated density in g/cm3: 3.84
Uncorrected energy in eV for the cell shown: -64.21
Crystal system: cubic


Which formula does entry 2 have?
Ca2LaZr


What is the formula in the first record?
CaLaZr


Number 1 is which compound?
CaLaZr


Which of these has the lowest offset from the most stable computed form?
CaLaZr